A plane-wave DFT calculation with PBE+U was carried out for crystalline UMn2IrO8 at its relaxed geometry.

```
UMn2IrO8
1.0
4.833 -0.152 -0.003
-0.125 4.827 -0.005
0.004 0.007 6.318
U Mn Ir O
1 2 1 8
Cartesian
0.002 0.004 3.159
2.357 2.343 4.802
2.355 2.339 1.509
0.000 0.000 0.000
0.814 3.875 1.512
3.325 3.313 -0.006
3.896 0.804 1.514
3.898 0.807 4.798
1.384 1.362 -0.002
0.816 3.879 4.797
3.254 3.244 3.154
1.459 1.439 3.157
```

## Properties
- Theoretical density: 7.532 Mg/m³
- DFT total energy: -96.96 eV for the cell shown
- Crystal system: monoclinic